Material: HfPb3Cl
Method: DFT, PBE
State: relaxed Values from VASP.

Computed properties:
energy above the lowest structure with this stoichiometry: 0 meV/atom
total energy: -0.319 Ry per atom
DOS at the Fermi energy: 4.756 states/eV/cell
SG: Pm-3m
formation energy without anion corrections: 0.2386 eV per atom

Quantum ESPRESSO input file:
```
&SYSTEM
  ibrav = 0, nat = 5, ntyp = 3
/
ATOMIC_SPECIES
Pb 207.20 Pb.upf
Cl 35.45 Cl.upf
Hf 178.49 Hf.upf
ATOMIC_POSITIONS crystal
Pb 0.0000 0.0000 0.5000
Pb 0.0000 0.5000 0.0000
Pb 0.5000 0.0000 0.0000
Cl 0.5000 0.5000 0.5000
Hf 0.0000 0.0000 0.0000
CELL_PARAMETERS angstrom
5.6851 0.0000 0.0000
0.0000 5.6851 0.0000
0.0000 0.0000 5.6851
```



Material: HfPb2Cl
Method: DFT, PBE
State: relaxed Values from VASP.

Computed properties:
energy above the lowest structure with this stoichiometry: 15 meV/atom
total energy: -0.331 Ry per atom
DOS at the Fermi energy: 7.104 states/eV/cell
SG: I-42d
formation energy without anion corrections: 0.2993 eV per atom

Quantum ESPRESSO input file:
```
&SYSTEM
  ibrav = 0, nat = 8, ntyp = 3
/
ATOMIC_SPECIES
Pb 207.20 Pb.upf
Cl 35.45 Cl.upf
Hf 178.49 Hf.upf
ATOMIC_POSITIONS crystal
Pb 0.3750 0.3635 0.7500
Cl 0.2500 0.7500 0.5000
Cl 0.5000 0.5000 0.0000
Hf 0.7500 0.2500 0.5000
Hf 0.0000 0.0000 0.0000
Pb 0.1135 0.6250 0.2500
Pb 0.8750 0.8865 0.7500
Pb 0.6365 0.1250 0.2500
CELL_PARAMETERS angstrom
4.4204 0.0000 0.0000
0.0000 4.4204 0.0000
2.2102 2.2102 11.1018
```



Material: Hf2Pb2Cl
Method: DFT, PBE
State: relaxed Values from VASP.

Computed properties:
total energy: -0.437 Ry per atom
DOS at the Fermi energy: 6.331 states/eV/cell
SG: P4/mbm
formation energy without anion corrections: -0.1150 eV per atom

Quantum ESPRESSO input file:
```
&SYSTEM
  ibrav = 0, nat = 10, ntyp = 3
/
ATOMIC_SPECIES
Pb 207.20 Pb.upf
Hf 178.49 Hf.upf
Cl 35.45 Cl.upf
ATOMIC_POSITIONS crystal
Pb 0.6663 0.8337 0.5000
Pb 0.3337 0.1663 0.5000
Hf 0.3482 0.8482 0.0000
Pb 0.8337 0.3337 0.5000
Cl 0.5000 0.5000 0.0000
Hf 0.6518 0.1518 0.0000
Cl 0.0000 0.0000 0.0000
Pb 0.1663 0.6663 0.5000
Hf 0.1518 0.3482 0.0000
Hf 0.8482 0.6518 0.0000
CELL_PARAMETERS angstrom
6.8475 0.0000 0.0000
0.0000 6.8475 0.0000
0.0000 0.0000 5.0102
```



Material: HfPb3Cl
Method: DFT, PBE
State: relaxed Values from VASP.

Computed properties:
energy above the lowest structure with this stoichiometry: 398 meV/atom
total energy: -0.290 Ry per atom
DOS at the Fermi energy: 5.060 states/eV/cell
SG: Pm-3m
formation energy without anion corrections: 0.6363 eV per atom

Quantum ESPRESSO input file:
```
&SYSTEM
  ibrav = 0, nat = 5, ntyp = 3
/
ATOMIC_SPECIES
Cl 35.45 Cl.upf
Pb 207.20 Pb.upf
Hf 178.49 Hf.upf
ATOMIC_POSITIONS crystal
Cl 0.0000 0.0000 0.0000
Pb 0.0000 0.5000 0.0000
Hf 0.5000 0.5000 0.5000
Pb 0.0000 0.0000 0.5000
Pb 0.5000 0.0000 0.0000
CELL_PARAMETERS angstrom
-2.6633 -4.1643 2.1623
4.6459 -2.6888 0.5440
0.6577 2.1305 4.9131
```



Material: HfPbCl2
Method: DFT, PBE
State: relaxed Values from VASP.

Computed properties:
energy above the lowest structure with this stoichiometry: 467 meV/atom
total energy: -0.353 Ry per atom
DOS at the Fermi energy: 0.733 states/eV/cell
SG: I-42d
formation energy without anion corrections: -0.4627 eV per atom

Quantum ESPRESSO input file:
```
&SYSTEM
  ibrav = 0, nat = 8, ntyp = 3
/
ATOMIC_SPECIES
Cl 35.45 Cl.upf
Pb 207.20 Pb.upf
Hf 178.49 Hf.upf
ATOMIC_POSITIONS crystal
Cl 0.3750 0.4172 0.7500
Pb 0.0000 0.0000 0.0000
Pb 0.7500 0.2500 0.5000
Cl 0.1672 0.6250 0.2500
Hf 0.5000 0.5000 0.0000
Hf 0.2500 0.7500 0.5000
Cl 0.5828 0.1250 0.2500
Cl 0.8750 0.8328 0.7500
CELL_PARAMETERS angstrom
-2.9064 -2.8862 1.9194
-1.6296 -1.0729 -4.0810
4.0546 -8.8280 -1.8050
```



Material: HfPb2Cl8
Method: DFT, PBE
State: relaxed Values from VASP.

Computed properties:
total energy: -0.321 Ry per atom
DOS at the Fermi energy: 0.000 states/eV/cell
SG: C2/m
formation energy without anion corrections: -1.4470 eV per atom

Quantum ESPRESSO input file:
```
&SYSTEM
  ibrav = 0, nat = 11, ntyp = 3
/
ATOMIC_SPECIES
Cl 35.45 Cl.upf
Pb 207.20 Pb.upf
Hf 178.49 Hf.upf
ATOMIC_POSITIONS crystal
Cl 0.1457 0.2971 0.9353
Pb 0.9028 0.3483 0.3483
Cl 0.3269 0.8597 0.8597
Cl 0.1457 0.9353 0.2971
Cl 0.6731 0.1403 0.1403
Cl 0.2785 0.4199 0.4199
Cl 0.8543 0.7029 0.0647
Pb 0.0972 0.6517 0.6517
Hf 0.0000 0.0000 0.0000
Cl 0.7215 0.5801 0.5801
Cl 0.8543 0.0647 0.7029
CELL_PARAMETERS angstrom
-0.7627 1.8230 6.1509
6.5701 -2.5460 2.8168
4.5291 6.0885 0.0047
```



Material: HfPbCl2
Method: DFT, PBE
State: relaxed Values from VASP.

Computed properties:
energy above the lowest structure with this stoichiometry: 925 meV/atom
total energy: -0.319 Ry per atom
DOS at the Fermi energy: 3.008 states/eV/cell
SG: Fm-3m
formation energy without anion corrections: -0.0043 eV per atom

Quantum ESPRESSO input file:
```
&SYSTEM
  ibrav = 0, nat = 4, ntyp = 3
/
ATOMIC_SPECIES
Cl 35.45 Cl.upf
Hf 178.49 Hf.upf
Pb 207.20 Pb.upf
ATOMIC_POSITIONS crystal
Cl 0.2500 0.2500 0.2500
Cl 0.7500 0.7500 0.7500
Hf 0.0000 0.0000 0.0000
Pb 0.5000 0.5000 0.5000
CELL_PARAMETERS angstrom
0.0000 3.5135 3.5135
3.5135 0.0000 3.5135
3.5135 3.5135 0.0000
```



Material: HfPbCl6
Method: DFT, PBE
State: relaxed Values from VASP.

Computed properties:
energy above the lowest structure with this stoichiometry: 0 meV/atom
total energy: -0.343 Ry per atom
DOS at the Fermi energy: 0.000 states/eV/cell
SG: C2/m
formation energy without anion corrections: -1.5759 eV per atom

Quantum ESPRESSO input file:
```
&SYSTEM
  ibrav = 0, nat = 8, ntyp = 3
/
ATOMIC_SPECIES
Hf 178.49 Hf.upf
Pb 207.20 Pb.upf
Cl 35.45 Cl.upf
ATOMIC_POSITIONS crystal
Hf 0.5000 0.5000 0.5000
Pb 0.0000 0.0000 0.0000
Cl 0.8518 0.5657 0.7210
Cl 0.1482 0.4343 0.2790
Cl 0.4343 0.1482 0.2790
Cl 0.7379 0.7379 0.2814
Cl 0.5657 0.8518 0.7210
Cl 0.2621 0.2621 0.7186
CELL_PARAMETERS angstrom
6.9525 -0.6259 -0.1579
-3.1676 6.2206 -0.1579
-0.8496 -1.2559 6.5367
```



Ordered density results: 7.6 9.6 11.4 8.8 7.9 4.1 8.7 3.7; unit g cm⁻³.